(1)
Cs2PuIn2Cl6 | the Alexandria database | PBE | relaxed; E_form (uncorrected) = -1493 meV/atom; electronic total energy = -49.0 eV for the cell shown; magnetic moment = 6.0 μB per formula unit
1.0
-1.573 -1.446 7.146
9.008 0.117 -1.886
-4.093 7.175 0.551
Cl Cs In Pu
6 2 2 1
Direct
0.829 0.161 0.801
0.329 0.658 0.467
0.332 0.161 0.801
0.668 0.839 0.199
0.171 0.839 0.199
0.671 0.342 0.533
0.259 0.518 0.790
0.741 0.482 0.210
0.052 0.105 0.229
0.948 0.895 0.771
0.500 0.000 0.500

(2)
CsPuInCl6 | the Alexandria database | PBE | relaxed; E_form (uncorrected) = -1601 meV/atom; electronic total energy = -86.8 eV for the cell shown; magnetic moment = 4.0 μB per formula unit
1.0
7.248 0.000 0.000
0.000 7.248 0.000
0.000 0.000 13.780
Cl In Cs Pu
12 2 2 2
Direct
0.247 0.753 0.844
0.747 0.747 0.344
0.812 0.188 0.462
0.188 0.812 0.462
0.688 0.688 0.962
0.253 0.253 0.344
0.167 0.833 0.187
0.333 0.333 0.687
0.667 0.667 0.687
0.753 0.247 0.844
0.833 0.167 0.187
0.312 0.312 0.962
0.000 0.000 0.006
0.500 0.500 0.506
0.000 0.000 0.673
0.500 0.500 0.173
0.000 0.000 0.334
0.500 0.500 0.834

(3)
CsRb2InCl6 | the Alexandria database | PBE | relaxed; E_form (uncorrected) = -1661 meV/atom; electronic total energy = -66.4 eV for the cell shown; magnetic moment = 0.0 μB per formula unit
1.0
7.814 0.000 -0.018
0.000 8.263 0.000
0.040 0.000 11.150
Cl Rb In Cs
12 4 2 2
Direct
0.238 0.168 0.444
0.652 0.257 0.579
0.762 0.832 0.556
0.628 0.057 0.292
0.848 0.757 0.921
0.738 0.332 0.944
0.372 0.943 0.708
0.152 0.243 0.079
0.128 0.443 0.792
0.872 0.557 0.208
0.348 0.743 0.421
0.262 0.668 0.056
0.527 0.570 0.754
0.973 0.070 0.746
0.027 0.930 0.254
0.473 0.430 0.246
0.500 0.000 0.500
0.000 0.500 0.000
0.500 0.000 0.000
0.000 0.500 0.500

(4)
CsRbInCl3 | the Alexandria database | PBE | relaxed; E_form (uncorrected) = -1539 meV/atom; electronic total energy = -38.7 eV for the cell shown; magnetic moment = 0.0 μB per formula unit
1.0
5.225 0.000 0.001
-2.614 9.864 -0.026
0.003 -2.821 9.211
Cs Cl Rb In
2 6 2 2
Direct
0.653 0.305 0.073
0.347 0.695 0.927
0.845 0.690 0.200
0.832 0.663 0.662
0.168 0.337 0.338
0.505 0.012 0.207
0.495 0.988 0.793
0.155 0.310 0.800
0.340 0.679 0.441
0.660 0.321 0.559
0.999 0.997 0.676
0.001 0.003 0.324

(5)
CsRb2InCl6 | the Alexandria database | PBE | relaxed; E_form (uncorrected) = -1598 meV/atom; electronic total energy = -32.6 eV for the cell shown; magnetic moment = 0.0 μB per formula unit
1.0
-0.735 -5.232 -6.233
-1.808 -7.838 1.436
-7.352 -2.935 -2.025
Cl In Cs Rb
6 1 1 2
Direct
0.220 0.780 0.780
0.780 0.220 0.220
0.780 0.220 0.780
0.220 0.220 0.780
0.220 0.780 0.220
0.780 0.780 0.220
0.000 0.000 0.000
0.500 0.500 0.500
0.250 0.250 0.250
0.750 0.750 0.750

(6)
Cs3Rb2InCl6 | the Alexandria database | PBE | relaxed; E_form (uncorrected) = -1760 meV/atom; electronic total energy = -39.4 eV for the cell shown; magnetic moment = 0.0 μB per formula unit
1.0
4.845 0.000 0.000
0.000 9.671 0.338
-2.423 -2.795 10.175
Cl Rb Cs In
6 2 3 1
Direct
0.003 0.236 0.006
0.339 0.911 0.678
0.670 0.575 0.339
0.661 0.089 0.322
0.330 0.425 0.661
0.997 0.764 0.994
0.834 0.669 0.668
0.166 0.331 0.332
0.166 0.834 0.332
0.500 0.500 0.000
0.834 0.166 0.668
0.500 0.000 0.000

(7)
CsRbIn2Cl8 | the Alexandria database | PBE | relaxed; E_form (uncorrected) = -1443 meV/atom; electronic total energy = -39.4 eV for the cell shown; magnetic moment = 0.0 μB per formula unit
1.0
7.263 0.000 0.000
0.000 7.263 0.000
-3.631 -3.631 8.376
Cl In Cs Rb
8 2 1 1
Direct
0.570 0.699 0.662
0.433 0.342 0.156
0.658 0.277 0.844
0.301 0.908 0.338
0.092 0.963 0.662
0.037 0.430 0.338
0.186 0.567 0.844
0.723 0.814 0.156
0.500 0.500 0.000
0.250 0.750 0.500
0.750 0.250 0.500
0.000 0.000 0.000

(8)
Cs2InRhCl6 | the Alexandria database | PBE | relaxed; E_form (uncorrected) = -1266 meV/atom; electronic total energy = -35.5 eV for the cell shown; magnetic moment = 0.0 μB per formula unit
1.0
-3.392 -6.461 -1.562
5.514 -3.714 3.391
-1.570 -4.813 5.493
In Cl Cs Rh
1 6 2 1
Direct
0.000 0.000 0.000
0.271 0.271 0.000
0.272 0.272 0.456
0.729 0.729 0.000
0.729 0.271 0.000
0.728 0.728 0.544
0.271 0.729 0.000
0.250 0.750 0.500
0.750 0.250 0.500
0.500 0.500 0.000

(9)
CsInRhCl6 | the Alexandria database | PBE | relaxed; E_form (uncorrected) = -1076 meV/atom; electronic total energy = -31.7 eV for the cell shown; magnetic moment = 1.0 μB per formula unit
1.0
-0.969 0.704 -6.641
3.540 -3.416 -4.307
-5.381 -5.704 -0.161
Cl In Cs Rh
6 1 1 1
Direct
0.376 0.980 0.673
0.987 0.375 0.332
0.644 0.980 0.326
0.371 0.623 0.297
0.006 0.623 0.703
0.638 0.375 0.668
0.326 0.348 0.500
0.987 0.026 0.000
0.665 0.670 0.500

(10)
Cs2InRuCl6 | the Alexandria database | PBE | relaxed; E_form (uncorrected) = -1195 meV/atom; electronic total energy = -36.7 eV for the cell shown; magnetic moment = 1.0 μB per formula unit
1.0
-3.046 6.476 2.581
-6.521 -1.650 -3.555
-6.526 -0.156 3.903
Cs Cl In Ru
2 6 1 1
Direct
0.250 0.750 0.500
0.750 0.250 0.500
0.723 0.277 0.000
0.277 0.277 0.000
0.277 0.277 0.447
0.277 0.723 0.000
0.723 0.723 0.553
0.723 0.723 0.000
0.000 0.000 0.000
0.500 0.500 0.000

(11)
CsInS2Cl | the Alexandria database | PBE | relaxed; E_form (uncorrected) = -688 meV/atom; electronic total energy = -17.1 eV for the cell shown; magnetic moment = 0.6 μB per formula unit
1.0
-2.245 0.317 4.626
2.772 -4.028 1.621
4.132 3.553 1.762
S Cs Cl In
2 1 1 1
Direct
0.000 0.500 0.000
0.500 0.000 0.000
0.500 0.500 0.500
0.000 0.000 0.500
0.000 0.000 0.000

(12)
CsInS2Cl | the Alexandria database | PBE | relaxed; E_form (uncorrected) = 381 meV/atom; electronic total energy = -11.8 eV for the cell shown; magnetic moment = 1.1 μB per formula unit
1.0
-0.084 -2.395 5.071
-4.844 -2.525 -1.272
3.265 -5.081 -2.345
S In Cs Cl
2 1 1 1
Direct
0.500 0.000 0.000
0.000 0.500 0.000
0.500 0.500 0.500
0.000 0.000 0.000
0.000 0.000 0.500

(13)
CsIn2SCl | the Alexandria database | PBE | relaxed; E_form (uncorrected) = -96 meV/atom; electronic total energy = -12.8 eV for the cell shown; magnetic moment = 0.0 μB per formula unit
1.0
5.703 0.000 0.000
0.000 5.742 0.000
0.000 0.000 5.703
In Cl S Cs
2 1 1 1
Direct
0.500 0.000 0.000
0.000 0.000 0.500
0.000 0.000 0.000
0.000 0.500 0.000
0.500 0.500 0.500

(14)
Cs2InSCl6 | the Alexandria database | PBE | relaxed; E_form (uncorrected) = -1096 meV/atom; electronic total energy = -30.6 eV for the cell shown; magnetic moment = 0.0 μB per formula unit
1.0
7.232 0.000 0.000
0.000 7.232 0.000
3.616 3.616 6.128
Cs In Cl S
2 1 6 1
Direct
0.250 0.750 0.500
0.750 0.250 0.500
0.000 0.000 0.000
0.740 0.740 0.000
0.209 0.209 0.581
0.791 0.791 0.419
0.740 0.260 0.000
0.260 0.260 0.000
0.260 0.740 0.000
0.500 0.500 0.000

(15)
Cs4InSbCl12 | the Alexandria database | PBE | relaxed; E_form (uncorrected) = -1439 meV/atom; electronic total energy = -58.3 eV for the cell shown; magnetic moment = 0.0 μB per formula unit
1.0
-6.071 4.268 1.643
-3.816 -3.221 -5.731
-3.633 -7.781 6.792
Cl In Cs Sb
12 1 4 1
Direct
0.239 0.761 0.000
0.725 0.725 0.500
0.000 0.000 0.766
0.761 0.761 0.000
0.761 0.239 0.000
0.275 0.275 0.500
0.725 0.275 0.500
0.500 0.500 0.279
0.275 0.725 0.500
0.000 0.000 0.234
0.500 0.500 0.721
0.239 0.239 0.000
0.000 0.000 0.000
0.500 0.000 0.783
0.000 0.500 0.217
0.000 0.500 0.783
0.500 0.000 0.217
0.500 0.500 0.500

(16)
CsScInCl6 | the Alexandria database | PBE | relaxed; E_form (uncorrected) = -1698 meV/atom; electronic total energy = -36.3 eV for the cell shown; magnetic moment = 0.0 μB per formula unit
1.0
-6.980 0.660 0.461
-3.875 -5.311 2.480
0.719 2.731 6.972
In Sc Cl Cs
1 1 6 1
Direct
0.667 0.667 0.500
0.333 0.333 0.500
0.026 0.373 0.302
0.373 0.026 0.698
0.601 0.373 0.698
0.601 0.026 0.302
0.373 0.601 0.302
0.026 0.601 0.698
0.000 0.000 0.000

(17)
CsScIn2Cl6 | the Alexandria database | PBE | relaxed; E_form (uncorrected) = -1585 meV/atom; electronic total energy = -39.6 eV for the cell shown; magnetic moment = 0.0 μB per formula unit
1.0
7.848 0.017 0.007
3.939 6.783 0.005
3.935 2.268 6.680
Cl In Cs Sc
6 2 1 1
Direct
0.389 0.667 0.784
0.999 0.536 0.226
0.238 0.000 0.228
0.668 0.158 0.786
0.534 0.239 0.227
0.160 0.389 0.785
0.525 0.525 0.425
0.014 0.014 0.957
0.809 0.810 0.570
0.324 0.324 0.027

(18)
Cs2InSeCl6 | the Alexandria database | PBE | relaxed; E_form (uncorrected) = -1162 meV/atom; electronic total energy = -30.6 eV for the cell shown; magnetic moment = 0.0 μB per formula unit
1.0
-4.247 5.989 0.685
-4.772 -2.828 -4.859
-7.573 -1.115 2.490
In Cl Cs Se
1 6 2 1
Direct
0.000 0.000 0.000
0.744 0.744 0.000
0.256 0.744 0.000
0.256 0.256 0.000
0.210 0.210 0.581
0.744 0.256 0.000
0.790 0.790 0.419
0.750 0.250 0.500
0.250 0.750 0.500
0.500 0.500 0.000

(19)
Cs2InSiCl6 | the Alexandria database | PBE | relaxed; E_form (uncorrected) = -1309 meV/atom; electronic total energy = -34.0 eV for the cell shown; magnetic moment = 0.0 μB per formula unit
1.0
-3.488 6.195 2.808
-3.669 0.943 -6.639
-7.617 0.482 -0.122
Cl Cs Si In
6 2 1 1
Direct
0.724 0.276 0.000
0.276 0.724 0.000
0.276 0.276 0.000
0.724 0.724 0.000
0.725 0.725 0.551
0.275 0.275 0.449
0.250 0.750 0.500
0.750 0.250 0.500
0.500 0.500 0.000
0.000 0.000 0.000

(20)
CsSmIn2Cl6 | the Alexandria database | PBE | relaxed; E_form (uncorrected) = -1657 meV/atom; electronic total energy = -38.7 eV for the cell shown; magnetic moment = 0.0 μB per formula unit
1.0
-2.776 -3.553 -6.606
-6.785 -4.249 0.269
-6.803 3.068 -3.652
In Cl Sm Cs
2 6 1 1
Direct
0.523 0.523 0.432
0.013 0.014 0.959
0.558 0.229 0.233
0.229 0.980 0.234
0.980 0.558 0.233
0.685 0.162 0.772
0.163 0.382 0.772
0.382 0.684 0.771
0.322 0.322 0.032
0.807 0.808 0.578